No. 1
The following is a PBE calculation of crystalline SnSb2Te2Pd7 at its relaxed geometry, from Alexandria.

The structure in CIF format:
```
data_SnSb2Te2Pd7
_space_group_name_H-M_alt 'C 1 2/m 1'
_space_group_IT_number 12
_cell_length_a 5.669
_cell_length_b 5.670
_cell_length_c 16.005
_cell_angle_alpha 90.00
_cell_angle_beta 100.08
_cell_angle_gamma 90.00
loop_
_space_group_symop_operation_xyz
'x,y,z'
'-x,-y,-z'
'-x,y,-z'
'x,-y,z'
'x+1/2,y+1/2,z'
'-x+1/2,-y+1/2,-z'
'-x+1/2,y+1/2,-z'
'x+1/2,-y+1/2,z'
loop_
_atom_site_label
_atom_site_fract_x
_atom_site_fract_y
_atom_site_fract_z
Sn1 0.000 0.000 0.000
Sb1 0.119 0.500 0.241
Te1 0.211 0.000 0.422
Pd1 0.000 0.500 0.000
Pd2 0.185 0.250 0.869
Pd3 0.203 0.500 0.406
```

Calculated values
V = 506 Å³/cell
Uncorrected energy = -119.36 eV per cell
Raw formation energy = -0.400 eV/atom
Size of the total moment = 0.00 μB/f.u.
Theoretical density = 8.9 g/cm3

No. 2
The following is a PBE calculation of crystalline Sn2SbTe2Pd7 at its relaxed geometry, from Alexandria.

The structure in CIF format:
```
data_Sn2SbTe2Pd7
_space_group_name_H-M_alt 'C 1 2/m 1'
_space_group_IT_number 12
_cell_length_a 5.636
_cell_length_b 5.636
_cell_length_c 16.099
_cell_angle_alpha 90.00
_cell_angle_beta 100.01
_cell_angle_gamma 90.00
loop_
_space_group_symop_operation_xyz
'x,y,z'
'-x,-y,-z'
'-x,y,-z'
'x,-y,z'
'x+1/2,y+1/2,z'
'-x+1/2,-y+1/2,-z'
'-x+1/2,y+1/2,-z'
'x+1/2,-y+1/2,z'
loop_
_atom_site_label
_atom_site_fract_x
_atom_site_fract_y
_atom_site_fract_z
Sn1 0.122 0.000 0.245
Sb1 0.000 0.500 0.000
Te1 0.207 0.500 0.416
Pd1 0.000 0.000 0.000
Pd2 0.185 0.250 0.869
Pd3 0.204 0.000 0.410
```

Calculated values
V = 504 Å³/cell
Uncorrected energy = -118.12 eV per cell
Raw formation energy = -0.358 eV/atom
Size of the total moment = 0.00 μB/f.u.
Theoretical density = 9.0 g/cm3

No. 3
The following is a PBE calculation of crystalline TlSnSbPd at its relaxed geometry, from Alexandria.

The structure in CIF format:
```
data_TlSnSbPd
_space_group_name_H-M_alt 'R 3 m'
_space_group_IT_number 160
_space_group_name_Hall 'R 3 -2"'
_cell_length_a 4.3747
_cell_length_b 4.3747
_cell_length_c 20.1633
_cell_angle_alpha 90.00
_cell_angle_beta 90.00
_cell_angle_gamma 120.00
loop_
_atom_site_label
_atom_site_fract_x
_atom_site_fract_y
_atom_site_fract_z
Tl1 0.0000 0.0000 0.0000
Sn1 0.0000 0.0000 0.2184
Sb1 0.0000 0.0000 0.4462
Pd1 0.0000 0.0000 0.8282
```

Calculated values
V = 334 Å³/cell
Uncorrected energy = -49.58 eV per cell
Raw formation energy = -0.210 eV/atom
Size of the total moment = 0.00 μB/f.u.
Theoretical density = 8.2 g/cm3

No. 4
The following is a PBE calculation of crystalline TmSn2Sb2Pd7 at its relaxed geometry, from Alexandria.

The structure in CIF format:
```
data_TmSn2Sb2Pd7
_space_group_name_H-M_alt 'C 1 2/m 1'
_space_group_IT_number 12
_cell_length_a 5.673
_cell_length_b 5.713
_cell_length_c 15.411
_cell_angle_alpha 90.00
_cell_angle_beta 93.95
_cell_angle_gamma 90.00
loop_
_space_group_symop_operation_xyz
'x,y,z'
'-x,-y,-z'
'-x,y,-z'
'x,-y,z'
'x+1/2,y+1/2,z'
'-x+1/2,-y+1/2,-z'
'-x+1/2,y+1/2,-z'
'x+1/2,-y+1/2,z'
loop_
_atom_site_label
_atom_site_fract_x
_atom_site_fract_y
_atom_site_fract_z
Tm1 0.000 0.000 0.000
Sn1 0.134 0.000 0.414
Sb1 0.048 0.500 0.249
Pd1 0.000 0.500 0.000
Pd2 0.123 0.500 0.421
Pd3 0.224 0.250 0.863
```

Calculated values
V = 498 Å³/cell
Uncorrected energy = -126.64 eV per cell
Raw formation energy = -0.521 eV/atom
Size of the total moment = 0.00 μB/f.u.
Theoretical density = 9.3 g/cm3

No. 5
The following is a PBE calculation of crystalline SnSbPdW2 at its relaxed geometry, from Alexandria.

The structure in CIF format:
```
data_SnSbPdW2
_space_group_name_H-M_alt 'P 4/m m m'
_space_group_IT_number 123
_space_group_name_Hall '-P 4 2'
_cell_length_a 5.020
_cell_length_b 5.020
_cell_length_c 4.783
_cell_angle_alpha 90.00
_cell_angle_beta 90.00
_cell_angle_gamma 90.00
loop_
_atom_site_label
_atom_site_fract_x
_atom_site_fract_y
_atom_site_fract_z
Sn1 0.000 0.000 0.000
Sb1 0.500 0.500 0.500
Pd1 0.000 0.000 0.500
W1 0.000 0.500 0.000
```

Calculated values
V = 121 Å³/cell
Uncorrected energy = -29.44 eV per cell
Raw formation energy = 1.957 eV/atom
Size of the total moment = 0.00 μB/f.u.
Theoretical density = 9.8 g/cm3

No. 6
The following is a PBE calculation of crystalline YSn2Sb2Pd7 at its relaxed geometry, from Alexandria.

The structure in CIF format:
```
data_YSn2Sb2Pd7
_space_group_name_H-M_alt 'C 1 2/m 1'
_space_group_IT_number 12
_cell_length_a 5.694
_cell_length_b 5.731
_cell_length_c 15.446
_cell_angle_alpha 90.00
_cell_angle_beta 93.86
_cell_angle_gamma 90.00
loop_
_space_group_symop_operation_xyz
'x,y,z'
'-x,-y,-z'
'-x,y,-z'
'x,-y,z'
'x+1/2,y+1/2,z'
'-x+1/2,-y+1/2,-z'
'-x+1/2,y+1/2,-z'
'x+1/2,-y+1/2,z'
loop_
_atom_site_label
_atom_site_fract_x
_atom_site_fract_y
_atom_site_fract_z
Y1 0.000 0.000 0.000
Sn1 0.135 0.000 0.414
Sb1 0.048 0.500 0.250
Pd1 0.000 0.500 0.000
Pd2 0.124 0.500 0.421
Pd3 0.224 0.250 0.861
```

Calculated values
V = 503 Å³/cell
Uncorrected energy = -129.98 eV per cell
Raw formation energy = -0.494 eV/atom
Size of the total moment = 0.00 μB/f.u.
Theoretical density = 8.7 g/cm3